(1)
The following is a PBEsol calculation of crystalline CdRe3Pt at its relaxed geometry, from Alexandria via LeMat-Bulk.

Cell: 4.6588 4.6588 4.6588 Å, 90.00 90.00 90.00°
With the nearest neighbours (Å) after each atom.
Atoms (fractional coordinates):
Cd1 0.0000 0.0000 0.0000  6 Re 2.33
Re1 0.0000 0.0000 0.5000  2 Cd 2.33
Re2 0.0000 0.5000 0.0000  2 Cd 2.33
Re3 0.5000 0.0000 0.0000  2 Cd 2.33
Pt1 0.5000 0.5000 0.5000  12 Re 3.29

The space-group type is Pm-3m. Its spin magnetization is 0.0 μB per formula unit.

---

(2)
The following is a PBEsol calculation of crystalline TaCdRe2Pt at its relaxed geometry, from Alexandria via LeMat-Bulk.

Cell: 4.7066 4.7066 4.7396 Å, 90.00 90.00 90.00°
With the nearest neighbours (Å) after each atom.
Atoms (fractional coordinates):
Ta1 0.0000 0.0000 0.0000  4 Cd 3.33, 8 Re 3.34
Cd1 0.5000 0.5000 0.0000  2 Pt 2.37
Re1 0.0000 0.5000 0.5000  2 Pt 2.35
Re2 0.5000 0.0000 0.5000  2 Pt 2.35
Pt1 0.5000 0.5000 0.5000  4 Re 2.35, 2 Cd 2.37

The space-group type is P4/mmm. Its spin magnetization is 0.0 μB per formula unit.

---

(3)
The following is a PBEsol calculation of crystalline CdPt2Rh at its relaxed geometry, from Alexandria via LeMat-Bulk.

Cell: 2.7796 3.9390 5.6330 Å, 90.00 90.00 90.00°
With the nearest neighbours (Å) after each atom.
Atoms (fractional coordinates):
Cd1 0.0000 0.0000 0.0000  2 Cd 2.78, 2 Rh 2.82, 8 Pt 2.84
Pt1 0.5000 0.5000 0.2651  3 Pt 2.65-2.78, 4 Rh 2.75, 4 Cd 2.84
Pt2 0.5000 0.5000 0.7349  3 Pt 2.65-2.78, 4 Rh 2.75, 4 Cd 2.84
Rh1 0.0000 0.0000 0.5000  8 Pt 2.75, 2 Rh 2.78, 2 Cd 2.82

The space-group type is Pmmm. Its spin magnetization is 0.0 μB per formula unit.

---

no.,ΔE_f (meV per atom)
1,3375
2,2113
3,-87